Compound: Pr12NdRh7
Source: Alexandria
Functional: PBE
Structure: optimized geometry

The structure in CIF format:
```
data_Pr12NdRh7
_chemical_formula_sum 'Pr36 Nd3 Rh21'
_cell_length_a 14.6586
_cell_length_b 14.6586
_cell_length_c 10.1065
_cell_angle_alpha 90.00
_cell_angle_beta 90.00
_cell_angle_gamma 120.00
_symmetry_space_group_name_H-M 'R -3'
_symmetry_Int_Tables_number 148
_symmetry_space_group_name_Hall '-R 3'
loop_
_atom_site_label
_atom_site_type_symbol
_atom_site_fract_x
_atom_site_fract_y
_atom_site_fract_z
_atom_site_occupancy
Pr1 Pr 0.0288 0.5887 0.1637 1
Pr2 Pr 0.0477 0.1754 0.8328 1
Nd1 Nd 0.0000 0.0000 0.5000 1
Rh1 Rh 0.0000 0.0000 0.0000 1
Rh2 Rh 0.0495 0.1842 0.3286 1
```

Summary:
- magnetic moment (μB/f.u.) = 0.000
- energy of formation from the pure elements (meV/atom) = -447
- DOS(E_F) (states/eV/atom) = 0.89


Compound: LiZn2GaAu4
Source: Alexandria
Functional: PBE
Structure: optimized geometry

The structure in CIF format:
```
data_LiZn2GaAu4
_chemical_formula_sum 'Li3 Zn6 Ga3 Au12'
_cell_length_a 4.4865
_cell_length_b 4.4865
_cell_length_c 22.4559
_cell_angle_alpha 90.00
_cell_angle_beta 90.00
_cell_angle_gamma 120.00
_symmetry_space_group_name_H-M 'R -3 m'
_symmetry_Int_Tables_number 166
_symmetry_space_group_name_Hall '-R 3 2"'
loop_
_atom_site_label
_atom_site_type_symbol
_atom_site_fract_x
_atom_site_fract_y
_atom_site_fract_z
_atom_site_occupancy
Li1 Li 0.0000 0.0000 0.0000 1
Zn1 Zn 0.0000 0.0000 0.2555 1
Ga1 Ga 0.0000 0.0000 0.5000 1
Au1 Au 0.0000 0.0000 0.1242 1
Au2 Au 0.0000 0.0000 0.3752 1
```

Summary:
- magnetic moment (μB/f.u.) = 0.000
- energy of formation from the pure elements (meV/atom) = -300
- DOS(E_F) (states/eV/atom) = 0.17


Compound: Cs3Ac2PtO6
Source: Alexandria
Functional: PBE
Structure: optimized geometry

The structure in CIF format:
```
data_Cs3Ac2PtO6
_chemical_formula_sum 'Cs6 Ac4 Pt2 O12'
_cell_length_a 7.328
_cell_length_b 10.701
_cell_length_c 7.792
_cell_angle_alpha 90.00
_cell_angle_beta 117.93
_cell_angle_gamma 90.00
_symmetry_space_group_name_H-M 'C 1 2/m 1'
_symmetry_Int_Tables_number 12
loop_
_symmetry_equiv_pos_as_xyz
'x,y,z'
'-x,-y,-z'
'-x,y,-z'
'x,-y,z'
'x+1/2,y+1/2,z'
'-x+1/2,-y+1/2,-z'
'-x+1/2,y+1/2,-z'
'x+1/2,-y+1/2,z'
loop_
_atom_site_label
_atom_site_type_symbol
_atom_site_fract_x
_atom_site_fract_y
_atom_site_fract_z
_atom_site_occupancy
Cs1 Cs 0.000 0.000 0.000 1
Cs2 Cs 0.000 0.337 0.000 1
Ac1 Ac 0.000 0.166 0.500 1
Pt1 Pt 0.000 0.500 0.500 1
O1 O 0.171 0.000 0.736 1
O2 O 0.214 0.360 0.625 1
```

Summary:
- magnetic moment (μB/f.u.) = 1.100
- formation energy without anion corrections (kJ per mole of atoms) = -178.90
- DOS(E_F) (states/eV/atom) = 0.22


Compound: InC3
Source: Alexandria
Functional: PBE
Structure: optimized geometry

The structure in CIF format:
```
data_InC3
_chemical_formula_sum 'In2 C6'
_cell_length_a 4.218
_cell_length_b 6.456
_cell_length_c 3.414
_cell_angle_alpha 90.00
_cell_angle_beta 90.00
_cell_angle_gamma 90.00
_symmetry_space_group_name_H-M 'C m m m'
_symmetry_Int_Tables_number 65
_symmetry_space_group_name_Hall '-C 2 2'
loop_
_atom_site_label
_atom_site_type_symbol
_atom_site_fract_x
_atom_site_fract_y
_atom_site_fract_z
_atom_site_occupancy
In1 In 0.000 0.000 0.000 1
C1 C 0.000 0.500 0.000 1
C2 C 0.250 0.250 0.500 1
```

Summary:
- magnetic moment (μB/f.u.) = 0.000
- energy relative to the lowest polymorph listed for this composition (meV/atom) = 2385.8
- energy of formation from the pure elements (meV/atom) = 3286
- DOS(E_F) (states/eV/atom) = 0.40


Compound: PuBOs
Source: Alexandria
Functional: PBE
Structure: optimized geometry

The structure in CIF format:
```
data_PuBOs
_chemical_formula_sum 'Pu1 B1 Os1'
_cell_length_a 3.7114
_cell_length_b 3.7114
_cell_length_c 4.1284
_cell_angle_alpha 90.00
_cell_angle_beta 90.00
_cell_angle_gamma 120.00
_symmetry_space_group_name_H-M 'P -6 m 2'
_symmetry_Int_Tables_number 187
_symmetry_space_group_name_Hall 'P -6 2'
loop_
_atom_site_label
_atom_site_type_symbol
_atom_site_fract_x
_atom_site_fract_y
_atom_site_fract_z
_atom_site_occupancy
Pu1 Pu 0.0000 0.0000 0.0000 1
B1 B 0.3333 0.6667 0.5000 1
Os1 Os 0.6667 0.3333 0.5000 1
```

Summary:
- magnetic moment (μB/f.u.) = 5.111
- energy relative to the lowest polymorph listed for this composition (meV/atom) = 16.9
- energy of formation from the pure elements (meV/atom) = -149
- DOS(E_F) (states/eV/atom) = 2.33


Compound: NdAu3
Source: Alexandria
Functional: PBE
Structure: optimized geometry

The structure in CIF format:
```
data_NdAu3
_chemical_formula_sum 'Nd1 Au3'
_cell_length_a 4.458
_cell_length_b 4.458
_cell_length_c 4.458
_cell_angle_alpha 90.00
_cell_angle_beta 90.00
_cell_angle_gamma 90.00
_symmetry_space_group_name_H-M 'P m -3 m'
_symmetry_Int_Tables_number 221
_symmetry_space_group_name_Hall '-P 4 2 3'
loop_
_atom_site_label
_atom_site_type_symbol
_atom_site_fract_x
_atom_site_fract_y
_atom_site_fract_z
_atom_site_occupancy
Nd1 Nd 0.000 0.000 0.000 1
Au1 Au 0.000 0.500 0.500 1
```

Summary:
- magnetic moment (μB/f.u.) = 0.000
- energy of formation from the pure elements (meV/atom) = -479
- DOS(E_F) (states/eV/atom) = 0.89


Compound: Li2FeTc
Source: Alexandria
Functional: PBE
Structure: optimized geometry

The structure in CIF format:
```
data_Li2FeTc
_chemical_formula_sum 'Li2 Fe1 Tc1'
_cell_length_a 2.440
_cell_length_b 4.487
_cell_length_c 4.822
_cell_angle_alpha 90.00
_cell_angle_beta 90.00
_cell_angle_gamma 90.00
_symmetry_space_group_name_H-M 'P m m m'
_symmetry_Int_Tables_number 47
loop_
_symmetry_equiv_pos_as_xyz
'x,y,z'
'-x,-y,-z'
'-x,-y,z'
'x,y,-z'
'x,-y,-z'
'-x,y,z'
'-x,y,-z'
'x,-y,z'
loop_
_atom_site_label
_atom_site_type_symbol
_atom_site_fract_x
_atom_site_fract_y
_atom_site_fract_z
_atom_site_occupancy
Li1 Li 0.000 0.000 0.250 1
Fe1 Fe 0.500 0.500 0.000 1
Tc1 Tc 0.500 0.500 0.500 1
```

Summary:
- magnetic moment (μB/f.u.) = 1.868
- energy relative to the lowest polymorph listed for this composition (meV/atom) = 131.9
- energy of formation from the pure elements (meV/atom) = 329
- DOS(E_F) (states/eV/atom) = 0.51


Compound: Sm2TmTl3
Source: Alexandria
Functional: PBE
Structure: optimized geometry

The structure in CIF format:
```
data_Sm2TmTl3
_chemical_formula_sum 'Sm8 Tm4 Tl12'
_cell_length_a 3.715
_cell_length_b 28.904
_cell_length_c 6.718
_cell_angle_alpha 90.00
_cell_angle_beta 90.00
_cell_angle_gamma 90.00
_symmetry_space_group_name_H-M 'C m c m'
_symmetry_Int_Tables_number 63
_symmetry_space_group_name_Hall '-C 2c 2'
loop_
_atom_site_label
_atom_site_type_symbol
_atom_site_fract_x
_atom_site_fract_y
_atom_site_fract_z
_atom_site_occupancy
Sm1 Sm 0.000 0.005 0.250 1
Sm2 Sm 0.000 0.154 0.750 1
Tm1 Tm 0.000 0.332 0.750 1
Tl1 Tl 0.000 0.254 0.250 1
Tl2 Tl 0.000 0.422 0.008 1
```

Summary:
- magnetic moment (μB/f.u.) = 0.000
- energy relative to the lowest polymorph listed for this composition (meV/atom) = 123.7
- energy of formation from the pure elements (meV/atom) = -227
- DOS(E_F) (states/eV/atom) = 0.78


Compound: Y4PuMg5
Source: Alexandria
Functional: PBE
Structure: optimized geometry

The structure in CIF format:
```
data_Y4PuMg5
_chemical_formula_sum 'Y4 Pu1 Mg5'
_cell_length_a 3.794
_cell_length_b 3.794
_cell_length_c 19.000
_cell_angle_alpha 90.00
_cell_angle_beta 90.00
_cell_angle_gamma 90.00
_symmetry_space_group_name_H-M 'P 4/m m m'
_symmetry_Int_Tables_number 123
_symmetry_space_group_name_Hall '-P 4 2'
loop_
_atom_site_label
_atom_site_type_symbol
_atom_site_fract_x
_atom_site_fract_y
_atom_site_fract_z
_atom_site_occupancy
Y1 Y 0.000 0.000 0.100 1
Y2 Y 0.000 0.000 0.299 1
Pu1 Pu 0.000 0.000 0.500 1
Mg1 Mg 0.500 0.500 0.000 1
Mg2 Mg 0.500 0.500 0.199 1
Mg3 Mg 0.500 0.500 0.398 1
```

Summary:
- magnetic moment (μB/f.u.) = 6.541
- energy of formation from the pure elements (meV/atom) = -31
- DOS(E_F) (states/eV/atom) = 1.69


Compound: BaIrW4
Source: Alexandria
Functional: PBE
Structure: optimized geometry

The structure in CIF format:
```
data_BaIrW4
_chemical_formula_sum 'Ba4 Ir4 W16'
_cell_length_a 7.746
_cell_length_b 7.746
_cell_length_c 7.746
_cell_angle_alpha 90.00
_cell_angle_beta 90.00
_cell_angle_gamma 90.00
_symmetry_space_group_name_H-M 'F -4 3 m'
_symmetry_Int_Tables_number 216
_symmetry_space_group_name_Hall 'F -4 2 3'
loop_
_atom_site_label
_atom_site_type_symbol
_atom_site_fract_x
_atom_site_fract_y
_atom_site_fract_z
_atom_site_occupancy
Ba1 Ba 0.000 0.000 0.000 1
Ir1 Ir 0.250 0.250 0.750 1
W1 W 0.125 0.125 0.375 1
```

Summary:
- magnetic moment (μB/f.u.) = 0.000
- energy of formation from the pure elements (meV/atom) = 1059
- DOS(E_F) (states/eV/atom) = 0.91


Compound: MgCo4Ir
Source: Alexandria
Functional: PBE
Structure: optimized geometry

The structure in CIF format:
```
data_MgCo4Ir
_chemical_formula_sum 'Mg4 Co16 Ir4'
_cell_length_a 6.716
_cell_length_b 6.716
_cell_length_c 6.716
_cell_angle_alpha 90.00
_cell_angle_beta 90.00
_cell_angle_gamma 90.00
_symmetry_space_group_name_H-M 'F -4 3 m'
_symmetry_Int_Tables_number 216
_symmetry_space_group_name_Hall 'F -4 2 3'
loop_
_atom_site_label
_atom_site_type_symbol
_atom_site_fract_x
_atom_site_fract_y
_atom_site_fract_z
_atom_site_occupancy
Mg1 Mg 0.000 0.000 0.000 1
Co1 Co 0.125 0.125 0.625 1
Ir1 Ir 0.250 0.250 0.250 1
```

Summary:
- magnetic moment (μB/f.u.) = 7.370
- energy of formation from the pure elements (meV/atom) = 7
- DOS(E_F) (states/eV/atom) = 1.11


Compound: Nb2SbTe2
Source: Alexandria
Functional: PBE
Structure: optimized geometry

The structure in CIF format:
```
data_Nb2SbTe2
_chemical_formula_sum 'Nb4 Sb2 Te4'
_cell_length_a 8.276
_cell_length_b 8.276
_cell_length_c 3.305
_cell_angle_alpha 90.00
_cell_angle_beta 90.00
_cell_angle_gamma 90.00
_symmetry_space_group_name_H-M 'P 4/m b m'
_symmetry_Int_Tables_number 127
_symmetry_space_group_name_Hall '-P 4 2ab'
loop_
_atom_site_label
_atom_site_type_symbol
_atom_site_fract_x
_atom_site_fract_y
_atom_site_fract_z
_atom_site_occupancy
Nb1 Nb 0.154 0.346 0.000 1
Sb1 Sb 0.000 0.000 0.500 1
Te1 Te 0.138 0.638 0.500 1
```

Summary:
- magnetic moment (μB/f.u.) = 0.000
- formation energy without anion corrections (kJ per mole of atoms) = 22.18
- energy relative to the lowest polymorph listed for this composition (meV/atom) = 11.4
- DOS(E_F) (states/eV/atom) = 1.52


Taking the records one at a time from the top gives total energy values of -6.126 -2.875 -5.735 -4.317 -10.895 -4.129 -5.335 -3.728 -4.848 -9.374 -6.473 -5.879 eV per atom.